(1)
Material: HfCuAs2
Method: DFT, PBE
State: optimized geometry

Values from the calculation:
N(E_F) = 2.39 states/eV/f.u.
volume = 17.6 Å³/atom
space-group type = Fm-3m (225)
ΔE_f = -138.0 meV per atom

Cell: 4.6337 4.6337 4.6337 Å, 60.00 60.00 60.00°
Atoms (fractional coordinates):
Cu: 0.0000 0.0000 0.0000
As: 0.2500 0.2500 0.2500
Hf: 0.5000 0.5000 0.5000
As: 0.7500 0.7500 0.7500

(2)
Material: Hf3CuAs
Method: DFT, PBE
State: optimized geometry

Values from the calculation:
N(E_F) = 4.56 states/eV/f.u.
volume = 22.4 Å³/atom
space-group type = Pm-3m (221)
ΔE_f = 395.7 meV per atom

Cell: 4.8207 4.8207 4.8207 Å, 90.00 90.00 90.00°
Atoms (fractional coordinates):
Cu: 0.0000 0.0000 0.0000
Hf: 0.5000 0.0000 0.0000
Hf: 0.0000 0.0000 0.5000
As: 0.5000 0.5000 0.5000
Hf: 0.0000 0.5000 0.0000

(3)
Material: Hf2CuAs2
Method: DFT, PBE
State: optimized geometry

Values from the calculation:
N(E_F) = 4.47 states/eV/f.u.
volume = 18.9 Å³/atom
space-group type = P4/mbm (127)
ΔE_f = -484.1 meV per atom

Cell: 7.2873 7.2873 3.5598 Å, 90.00 90.00 90.00°
Atoms (fractional coordinates):
As: 0.3495 0.1505 0.5000
Hf: 0.8494 0.6506 0.0000
Hf: 0.6506 0.1506 0.0000
As: 0.8495 0.3495 0.5000
Cu: 0.5000 0.5000 0.0000
Hf: 0.3494 0.8494 0.0000
As: 0.6505 0.8495 0.5000
Hf: 0.1506 0.3494 0.0000
As: 0.1505 0.6505 0.5000
Cu: 0.0000 0.0000 0.0000

(4)
Material: HfCuAs3
Method: DFT, PBE
State: optimized geometry

Values from the calculation:
N(E_F) = 4.36 states/eV/f.u.
volume = 26.7 Å³/atom
space-group type = Pm-3m (221)
ΔE_f = 539.8 meV per atom

Cell: 5.1122 5.1122 5.1122 Å, 90.00 90.00 90.00°
Atoms (fractional coordinates):
Hf: 0.0000 0.0000 0.0000
As: 0.0000 0.5000 0.0000
As: 0.5000 0.0000 0.0000
Cu: 0.5000 0.5000 0.5000
As: 0.0000 0.0000 0.5000

(5)
Material: HfCuAs3
Method: DFT, PBE
State: optimized geometry

Values from the calculation:
N(E_F) = 3.54 states/eV/f.u.
volume = 20.2 Å³/atom
space-group type = Pm-3m (221)
ΔE_f = 441.7 meV per atom

Cell: 4.6535 4.6535 4.6535 Å, 90.00 90.00 90.00°
Atoms (fractional coordinates):
Hf: 0.5000 0.5000 0.5000
As: 0.0000 0.0000 0.5000
Cu: 0.0000 0.0000 0.0000
As: 0.5000 0.0000 0.0000
As: 0.0000 0.5000 0.0000

(6)
Material: HfCu3As
Method: DFT, PBE
State: optimized geometry

Values from the calculation:
N(E_F) = 5.04 states/eV/f.u.
volume = 17.6 Å³/atom
space-group type = Pm-3m (221)
ΔE_f = 538.1 meV per atom

Cell: 4.4451 4.4451 4.4451 Å, 90.00 90.00 90.00°
Atoms (fractional coordinates):
Cu: 0.0000 0.5000 0.0000
Cu: 0.0000 0.0000 0.5000
Cu: 0.5000 0.0000 0.0000
Hf: 0.5000 0.5000 0.5000
As: 0.0000 0.0000 0.0000